# Nd2GaCo2, relaxed, DFT PBE-GGA
data_Nd2GaCo2
_chemical_formula_sum 'Nd8 Ga4 Co8'
_cell_length_a 9.519
_cell_length_b 5.560
_cell_length_c 7.712
_cell_angle_alpha 90.00
_cell_angle_beta 104.03
_cell_angle_gamma 90.00
_symmetry_space_group_name_H-M 'C 1 2/c 1'
_symmetry_Int_Tables_number 15
_symmetry_space_group_name_Hall '-C 2yc'
loop_
_atom_site_label
_atom_site_type_symbol
_atom_site_fract_x
_atom_site_fract_y
_atom_site_fract_z
_atom_site_occupancy
Nd1 Nd 0.145 0.149 0.145 1
Ga1 Ga 0.000 0.374 0.750 1
Co1 Co 0.144 0.354 0.506 1
# - Volume: 19.8 Å³/atom
# - Calculated total energy: -113.0 eV/cell